1.
Compound: AcTlGa2
Source: Alexandria via LeMat-Bulk
Functional: PBE
Structure: relaxed

Energy above the lowest structure with this stoichiometry ... 2.69 kcal/mol of atoms
Energy relative to the elements ... -286 meV/atom
V ... 27.08 Å³ per atom

Unit cell a=6.1714 b=6.1714 c=6.1714 alpha=45.34 beta=45.34 gamma=45.34
Fractional coordinates of all 4 atoms:
Ac 0.0000 0.0000 0.0000
Tl 0.5000 0.5000 0.5000
Ga 0.2262 0.2262 0.2262
Ga 0.7738 0.7738 0.7738

---

2.
Compound: AcTbSm6Er2
Source: Alexandria via LeMat-Bulk
Functional: PBE
Structure: relaxed

Energy relative to the elements ... 124 meV/atom
V ... 34.51 Å³ per atom

Unit cell a=8.9811 b=8.9811 c=9.6623 alpha=92.86 beta=92.86 gamma=117.16
Fractional coordinates of all 20 atoms:
Ac 0.0306 0.9694 0.7500
Ac 0.9694 0.0306 0.2500
Tb 0.4118 0.5882 0.2500
Tb 0.5882 0.4118 0.7500
Sm 0.0091 0.5524 0.6811
Sm 0.1212 0.7533 0.0550
Sm 0.2467 0.8788 0.4450
Sm 0.2906 0.5130 0.8824
Sm 0.4476 0.9909 0.8189
Sm 0.4870 0.7094 0.6176
Sm 0.5130 0.2906 0.3824
Sm 0.5524 0.0091 0.1811
Sm 0.7094 0.4870 0.1176
Sm 0.7533 0.1212 0.5550
Sm 0.8788 0.2467 0.9450
Sm 0.9909 0.4476 0.3189
Er 0.2047 0.3131 0.5487
Er 0.3131 0.2047 0.0487
Er 0.6869 0.7953 0.9513
Er 0.7953 0.6869 0.4513

---

3.
Compound: TlSi2Mo
Source: Alexandria via LeMat-Bulk
Functional: PBE
Structure: relaxed

Energy above the lowest structure with this stoichiometry ... 11.93 kcal/mol of atoms
V ... 17.00 Å³ per atom
Formation energy without anion corrections ... 0.6709 eV per atom

Unit cell a=4.4926 b=4.4926 c=3.3694 alpha=90.00 beta=90.00 gamma=90.00
Fractional coordinates of all 4 atoms:
Tl 0.0000 0.0000 0.0000
Si 0.0000 0.5000 0.5000
Si 0.5000 0.0000 0.5000
Mo 0.5000 0.5000 0.0000

---

4.
Compound: LaCeTlGa
Source: Alexandria via LeMat-Bulk
Functional: PBE
Structure: relaxed

Energy above the lowest structure with this stoichiometry ... 0.00 kcal/mol of atoms
Energy relative to the elements ... -418 meV/atom
V ... 27.26 Å³ per atom

Unit cell a=3.4963 b=3.4963 c=8.9201 alpha=90.00 beta=90.00 gamma=90.00
Fractional coordinates of all 4 atoms:
La 0.0000 0.0000 0.0000
Ce 0.0000 0.0000 0.5439
Tl 0.5000 0.5000 0.2789
Ga 0.5000 0.5000 0.7653